# CdNiRu2, optimized geometry, DFT PBE
data_CdNiRu2
_cell_length_a 8.8888
_cell_length_b 2.7583
_cell_length_c 4.8951
_cell_angle_alpha 90.00
_cell_angle_beta 99.28
_cell_angle_gamma 90.00
_space_group_name_H-M_alt 'C 1 m 1'
_space_group_IT_number 8
loop_
_space_group_symop_operation_xyz
'x,y,z'
'x,-y,z'
'x+1/2,y+1/2,z'
'x+1/2,-y+1/2,z'
loop_
_atom_site_label
_atom_site_fract_x
_atom_site_fract_y
_atom_site_fract_z
_atom_site_occupancy
Cd1 0.0000 0.0000 0.0000 1
Ni1 0.2465 0.0000 0.7660 1
Ru1 0.0040 0.5000 0.5016 1
Ru2 0.2602 0.5000 0.3247 1
# calculated total energy = -6.023 eV/atom
# M_tot = 0.00 μB/f.u.
# V = 118 Å³/cell
# ρ = 10.465 g/cm3
# ΔH_f (0 K) = 0.2889 eV/atom

***

# Pm4Ge2C, optimized geometry, DFT PBE
data_Pm4Ge2C
_cell_length_a 6.7620
_cell_length_b 14.9787
_cell_length_c 7.3061
_cell_angle_alpha 90.00
_cell_angle_beta 90.00
_cell_angle_gamma 90.00
_space_group_name_H-M_alt 'C m c e'
_space_group_IT_number 64
_space_group_name_Hall '-C 2ac 2'
loop_
_atom_site_label
_atom_site_fract_x
_atom_site_fract_y
_atom_site_fract_z
_atom_site_occupancy
Pm1 0.0000 0.1720 0.0702 1
Pm2 0.2500 0.0215 0.7500 1
Ge1 0.0000 0.1332 0.4648 1
C1 0.0000 0.0000 0.0000 1
# calculated total energy = -5.885 eV/atom
# relative energy among the computed polymorphs = 0.00 eV per formula unit
# M_tot = 0.00 μB/f.u.
# V = 740 Å³/cell
# ρ = 6.618 g/cm3
# ΔH_f (0 K) = -0.5337 eV/atom

***

# Zr5Be, optimized geometry, DFT PBE
data_Zr5Be
_cell_length_a 4.5885
_cell_length_b 14.3359
_cell_length_c 3.8075
_cell_angle_alpha 90.00
_cell_angle_beta 90.00
_cell_angle_gamma 90.00
_space_group_name_H-M_alt 'C m m m'
_space_group_IT_number 65
_space_group_name_Hall '-C 2 2'
loop_
_atom_site_label
_atom_site_fract_x
_atom_site_fract_y
_atom_site_fract_z
_atom_site_occupancy
Zr1 0.0000 0.0000 0.0000 1
Zr2 0.0000 0.1761 0.5000 1
Zr3 0.0000 0.3590 0.0000 1
Be1 0.0000 0.5000 0.5000 1
# calculated total energy = -7.689 eV/atom
# relative energy among the computed polymorphs = 0.26 eV per formula unit
# M_tot = 0.00 μB/f.u.
# V = 250 Å³/cell
# ρ = 6.168 g/cm3
# ΔH_f (0 K) = 0.0557 eV/atom

***

# La2Nd3Y, optimized geometry, DFT PBE
data_La2Nd3Y
_cell_length_a 9.9169
_cell_length_b 3.6310
_cell_length_c 11.9116
_cell_angle_alpha 90.00
_cell_angle_beta 93.10
_cell_angle_gamma 90.00
_space_group_name_H-M_alt 'P 1 21/m 1'
_space_group_IT_number 11
loop_
_space_group_symop_operation_xyz
'x,y,z'
'-x,-y,-z'
'-x,y+1/2,-z'
'x,-y+1/2,z'
loop_
_atom_site_label
_atom_site_fract_x
_atom_site_fract_y
_atom_site_fract_z
_atom_site_occupancy
La1 0.0607 0.2500 0.3594 1
La2 0.4178 0.7500 0.8787 1
Nd1 0.1003 0.2500 0.9001 1
Nd2 0.2650 0.2500 0.6411 1
Nd3 0.4226 0.2500 0.3808 1
Y1 0.2564 0.7500 0.1439 1
# calculated total energy = -5.045 eV/atom
# relative energy among the computed polymorphs = 0.00 eV per formula unit
# M_tot = 0.00 μB/f.u.
# V = 428 Å³/cell
# ρ = 6.199 g/cm3
# ΔH_f (0 K) = 0.0586 eV/atom

***

# Y2ErRh2, optimized geometry, DFT PBE
data_Y2ErRh2
_cell_length_a 6.0105
_cell_length_b 14.1970
_cell_length_c 5.6186
_cell_angle_alpha 90.00
_cell_angle_beta 90.00
_cell_angle_gamma 90.00
_space_group_name_H-M_alt 'C m c m'
_space_group_IT_number 63
_space_group_name_Hall '-C 2c 2'
loop_
_atom_site_label
_atom_site_fract_x
_atom_site_fract_y
_atom_site_fract_z
_atom_site_occupancy
Y1 0.0000 0.0821 0.2500 1
Y2 0.0000 0.2782 0.7500 1
Er1 0.0000 0.5000 0.0000 1
Rh1 0.2438 0.1225 0.7500 1
# calculated total energy = -6.893 eV/atom
# M_tot = 0.00 μB/f.u.
# V = 479 Å³/cell
# ρ = 7.632 g/cm3
# ΔH_f (0 K) = -0.4540 eV/atom

***

# K3Th3UTe8, optimized geometry, DFT PBE
data_K3Th3UTe8
_cell_length_a 8.9210
_cell_length_b 8.9210
_cell_length_c 25.6556
_cell_angle_alpha 90.00
_cell_angle_beta 90.00
_cell_angle_gamma 120.00
_space_group_name_H-M_alt 'R -3 m'
_space_group_IT_number 166
_space_group_name_Hall '-R 3 2"'
loop_
_atom_site_label
_atom_site_fract_x
_atom_site_fract_y
_atom_site_fract_z
_atom_site_occupancy
K1 0.0000 0.5000 0.0000 1
Th1 0.0000 0.5000 0.5000 1
U1 0.0000 0.0000 0.5000 1
Te1 0.0000 0.0000 0.2400 1
Te2 0.0010 0.5005 0.7619 1
# calculated total energy = -5.225 eV/atom
# M_tot = 3.76 μB/f.u.
# formation energy without anion corrections = -106 kJ/mol of atoms
# V = 1768 Å³/cell
# ρ = 5.839 g/cm3

***

# La2CeSm, optimized geometry, DFT PBE
data_La2CeSm
_cell_length_a 3.6419
_cell_length_b 3.6419
_cell_length_c 35.6907
_cell_angle_alpha 90.00
_cell_angle_beta 90.00
_cell_angle_gamma 120.00
_space_group_name_H-M_alt 'R 3 m'
_space_group_IT_number 160
_space_group_name_Hall 'R 3 -2"'
loop_
_atom_site_label
_atom_site_fract_x
_atom_site_fract_y
_atom_site_fract_z
_atom_site_occupancy
La1 0.0000 0.0000 0.0000 1
La2 0.0000 0.0000 0.1629 1
Ce1 0.0000 0.0000 0.4148 1
Sm1 0.0000 0.0000 0.5829 1
# calculated total energy = -5.056 eV/atom
# relative energy among the computed polymorphs = 0.07 eV per formula unit
# M_tot = 0.87 μB/f.u.
# V = 410 Å³/cell
# ρ = 6.906 g/cm3
# ΔH_f (0 K) = 0.0714 eV/atom

***

# CaBeCo, optimized geometry, DFT PBE
data_CaBeCo
_cell_length_a 3.0607
_cell_length_b 3.0607
_cell_length_c 9.9148
_cell_angle_alpha 90.00
_cell_angle_beta 90.00
_cell_angle_gamma 90.00
_space_group_name_H-M_alt 'I 4 m m'
_space_group_IT_number 107
_space_group_name_Hall 'I 4 -2'
loop_
_atom_site_label
_atom_site_fract_x
_atom_site_fract_y
_atom_site_fract_z
_atom_site_occupancy
Ca1 0.0000 0.0000 0.0000 1
Be1 0.0000 0.0000 0.2729 1
Co1 0.0000 0.0000 0.7188 1
# calculated total energy = -4.114 eV/atom
# relative energy among the computed polymorphs = 0.00 eV per formula unit
# M_tot = 0.46 μB/f.u.
# V = 93 Å³/cell
# ρ = 3.863 g/cm3
# ΔH_f (0 K) = 0.1643 eV/atom